[1]
VASP calculation (GGA-PBE) on a geometry-optimized BeTlFe structure.

energy above the lowest structure with this stoichiometry: 0.156 eV per atom
formation energy: 0.644 eV per atom
magnetic moment: 0.832 μB per atom
space group: F-43m (216)
calculated density: 9.40 g cm⁻³

a = 4.067 Å, b = 4.067 Å, c = 4.067 Å
α = 60.00°, β = 60.00°, γ = 60.00°
Positions (direct):
Be 0.000 0.000 0.000
Tl 0.750 0.750 0.750
Fe 0.250 0.250 0.250

=====

[2]
VASP calculation (GGA-PBE) on a geometry-optimized Ac5Nd7 structure.

formation energy: 0.023 eV per atom
magnetic moment: 0.000 μB per atom
space group: C2/m (12)
calculated density: 7.57 g cm⁻³

a = 10.107 Å, b = 10.107 Å, c = 14.019 Å
α = 117.86°, β = 117.86°, γ = 21.92°
Positions (direct):
Ac 0.000 0.000 0.000
Ac 0.163 0.163 0.494
Ac 0.306 0.306 0.247
Ac 0.694 0.694 0.753
Ac 0.837 0.837 0.506
Nd 0.027 0.027 0.751
Nd 0.335 0.335 0.004
Nd 0.362 0.362 0.753
Nd 0.500 0.500 0.500
Nd 0.638 0.638 0.247
Nd 0.665 0.665 0.996
Nd 0.973 0.973 0.249

=====

[3]
VASP calculation (GGA-PBE) on a geometry-optimized LiYAs2 structure.

energy above the lowest structure with this stoichiometry: 0.112 eV per atom
formation energy: -0.739 eV per atom
magnetic moment: 0.000 μB per atom
space group: P4/mmm (123)
calculated density: 5.07 g cm⁻³

a = 3.670 Å, b = 3.670 Å, c = 5.972 Å
α = 90.00°, β = 90.00°, γ = 90.00°
Positions (direct):
Li 0.000 0.000 0.000
Y 0.000 0.000 0.500
As 0.500 0.500 0.231
As 0.500 0.500 0.769

=====

[4]
VASP calculation (GGA-PBE) on a geometry-optimized MnSiSnIrS structure.

energy above the lowest structure with this stoichiometry: 0.177 eV per atom
magnetic moment: 0.000 μB per atom
space group: Cm (8)
raw formation energy: -0.18 eV per atom
calculated density: 8.83 g cm⁻³

a = 5.620 Å, b = 5.620 Å, c = 5.059 Å
α = 103.47°, β = 103.47°, γ = 31.10°
Positions (direct):
Mn 0.000 0.000 0.000
Si 0.520 0.520 0.368
Sn 0.737 0.737 0.012
Ir 0.196 0.196 0.467
S 0.413 0.413 0.689

=====

[5]
VASP calculation (GGA-PBE) on a geometry-optimized KSc3Te4O12 structure.

magnetic moment: 0.000 μB per atom
space group: R32 (155)
raw formation energy: -1.78 eV per atom
calculated density: 4.63 g cm⁻³

a = 7.080 Å, b = 7.080 Å, c = 7.080 Å
α = 104.33°, β = 104.33°, γ = 104.33°
Positions (direct):
K 0.000 0.000 0.000
Sc 0.000 0.576 0.424
Sc 0.424 0.000 0.576
Sc 0.576 0.424 0.000
Te 0.096 0.500 0.904
Te 0.500 0.500 0.500
Te 0.500 0.904 0.096
Te 0.904 0.096 0.500
O 0.067 0.300 0.397
O 0.076 0.924 0.500
O 0.300 0.397 0.067
O 0.314 0.686 0.500
O 0.397 0.067 0.300
O 0.500 0.076 0.924
O 0.500 0.314 0.686
O 0.603 0.700 0.933
O 0.686 0.500 0.314
O 0.700 0.933 0.603
O 0.924 0.500 0.076
O 0.933 0.603 0.700

=====

[6]
VASP calculation (GGA-PBE) on a geometry-optimized PmGdHgPb structure.

formation energy: -0.497 eV per atom
magnetic moment: 1.874 μB per atom
space group: F-43m (216)
calculated density: 10.41 g cm⁻³

a = 5.430 Å, b = 5.430 Å, c = 5.430 Å
α = 60.00°, β = 60.00°, γ = 60.00°
Positions (direct):
Pm 0.000 0.000 0.000
Gd 0.500 0.500 0.500
Hg 0.750 0.750 0.750
Pb 0.250 0.250 0.250

=====

[7]
VASP calculation (GGA-PBE) on a geometry-optimized AcGaAgBi structure.

formation energy: -0.301 eV per atom
magnetic moment: 0.000 μB per atom
space group: F-43m (216)
calculated density: 9.24 g cm⁻³

a = 5.383 Å, b = 5.383 Å, c = 5.383 Å
α = 60.00°, β = 60.00°, γ = 60.00°
Positions (direct):
Ac 0.000 0.000 0.000
Ga 0.250 0.250 0.250
Ag 0.750 0.750 0.750
Bi 0.500 0.500 0.500

=====

[8]
VASP calculation (GGA-PBE) on a geometry-optimized CaNbI2O structure.

energy above the lowest structure with this stoichiometry: 0.797 eV per atom
magnetic moment: 0.675 μB per atom
space group: P4/mmm (123)
raw formation energy: -0.15 eV per atom
calculated density: 4.59 g cm⁻³

a = 5.996 Å, b = 5.996 Å, c = 4.055 Å
α = 90.00°, β = 90.00°, γ = 90.00°
Positions (direct):
Ca 0.000 0.000 0.000
Nb 0.500 0.500 0.500
I 0.000 0.500 0.000
I 0.500 0.000 0.000
O 0.000 0.000 0.500

=====

[9]
VASP calculation (GGA-PBE) on a geometry-optimized Nb6PS structure.

magnetic moment: 0.000 μB per atom
space group: R-3 (148)
raw formation energy: -0.21 eV per atom
calculated density: 7.04 g cm⁻³

a = 6.134 Å, b = 6.134 Å, c = 6.134 Å
α = 55.55°, β = 55.55°, γ = 55.55°
Positions (direct):
Nb 0.041 0.749 0.461
Nb 0.251 0.539 0.959
Nb 0.461 0.041 0.749
Nb 0.539 0.959 0.251
Nb 0.749 0.461 0.041
Nb 0.959 0.251 0.539
P 0.000 0.000 0.000
S 0.500 0.500 0.500

=====

[10]
VASP calculation (GGA-PBE) on a geometry-optimized SrTaHg2 structure.

formation energy: 0.423 eV per atom
magnetic moment: 0.000 μB per atom
space group: R-3m (166)
calculated density: 11.26 g cm⁻³

a = 9.993 Å, b = 9.993 Å, c = 9.993 Å
α = 19.66°, β = 19.66°, γ = 19.66°
Positions (direct):
Sr 0.000 0.000 0.000
Ta 0.500 0.500 0.500
Hg 0.242 0.242 0.242
Hg 0.758 0.758 0.758

=====

[11]
VASP calculation (GGA-PBE) on a geometry-optimized AcNd15Ho4 structure.

formation energy: 0.019 eV per atom
magnetic moment: 0.000 μB per atom
space group: P4/mmm (123)
calculated density: 7.27 g cm⁻³

a = 5.189 Å, b = 5.189 Å, c = 25.866 Å
α = 90.00°, β = 90.00°, γ = 90.00°
Positions (direct):
Ac 0.000 0.000 0.000
Nd 0.000 0.500 0.105
Nd 0.000 0.500 0.303
Nd 0.000 0.500 0.500
Nd 0.000 0.500 0.697
Nd 0.000 0.500 0.895
Nd 0.500 0.000 0.105
Nd 0.500 0.000 0.303
Nd 0.500 0.000 0.500
Nd 0.500 0.000 0.697
Nd 0.500 0.000 0.895
Nd 0.500 0.500 0.000
Nd 0.500 0.500 0.205
Nd 0.500 0.500 0.401
Nd 0.500 0.500 0.599
Nd 0.500 0.500 0.795
Ho 0.000 0.000 0.204
Ho 0.000 0.000 0.401
Ho 0.000 0.000 0.599
Ho 0.000 0.000 0.796

=====

[12]
VASP calculation (GGA-PBE) on a geometry-optimized LaNdThTc structure.

formation energy: 0.180 eV per atom
magnetic moment: 0.000 μB per atom
space group: R3m (160)
calculated density: 9.06 g cm⁻³

a = 6.202 Å, b = 6.202 Å, c = 6.202 Å
α = 45.95°, β = 45.95°, γ = 45.95°
Positions (direct):
La 0.000 0.000 0.000
Nd 0.229 0.229 0.229
Th 0.464 0.464 0.464
Tc 0.754 0.754 0.754